Record 1
Compound: Tb2PrSm2Ho2
Source: the Alexandria database
Functional: PBE
Structure: relaxed

```
data_Tb2PrSm2Ho2
_cell_length_a 5.079
_cell_length_b 6.209
_cell_length_c 8.042
_cell_angle_alpha 97.34
_cell_angle_beta 90.00
_cell_angle_gamma 114.14
_symmetry_space_group_name_H-M 'P 1'
_symmetry_Int_Tables_number 1
loop_
_symmetry_equiv_pos_as_xyz
'x,y,z'
loop_
_atom_site_label
_atom_site_fract_x
_atom_site_fract_y
_atom_site_fract_z
Tb1 0.143 0.286 0.430
Tb2 0.857 0.714 0.570
Pr1 0.000 0.000 0.000
Sm1 0.572 0.144 0.714
Sm2 0.428 0.856 0.286
Ho1 0.714 0.429 0.144
Ho2 0.286 0.571 0.856
```

=====

Record 2
Compound: Er8IrPt5
Source: the Alexandria database
Functional: PBE
Structure: relaxed

```
data_Er8IrPt5
_cell_length_a 7.472
_cell_length_b 7.472
_cell_length_c 7.472
_cell_angle_alpha 109.52
_cell_angle_beta 109.36
_cell_angle_gamma 109.52
_symmetry_space_group_name_H-M 'P 1'
_symmetry_Int_Tables_number 1
loop_
_symmetry_equiv_pos_as_xyz
'x,y,z'
loop_
_atom_site_label
_atom_site_fract_x
_atom_site_fract_y
_atom_site_fract_z
Er1 0.126 0.748 0.000
Er2 0.000 0.126 0.748
Er3 0.760 0.251 0.379
Er4 0.621 0.381 0.872
Er5 0.491 0.619 0.240
Er6 0.622 0.874 0.874
Er7 0.252 0.252 0.378
Er8 0.128 0.749 0.509
Ir1 0.250 0.500 0.750
Pt1 0.997 0.376 0.125
Pt2 0.875 0.872 0.251
Pt3 0.749 0.624 0.621
Pt4 0.500 0.000 0.500
Pt5 0.379 0.128 0.003
```

=====

Number 1: density of states at the Fermi level 9.29 states/eV/cell, E_tot -4.645 eV per atom. Number 2: density of states at the Fermi level 7.43 states/eV/cell, E_tot -6.499 eV per atom.